An optimized crystal structure of LiScAu4, computed with PBE.

Values from the calculation:
DOS(E_F) in states/eV/cell: 5.76
Spin magnetization in μB/atom: 0.00
Energy relative to the elements in eV per atom: -0.36
Energy above the most stable polymorph in this dataset in meV/atom: 221.8

Geometry as POSCAR:
```
LiScAu4
1.0
0.000 3.883 3.883
3.883 0.000 3.883
3.883 3.883 0.000
Sc Au Li
1 4 1
Direct
0.000 0.000 0.000 Sc
0.375 0.874 0.375 Au
0.874 0.375 0.375 Au
0.375 0.375 0.874 Au
0.375 0.375 0.375 Au
0.750 0.750 0.750 Li
```